Record 1
# CaHoC PBE relaxed
data_CaHoC
_cell_length_a 3.700
_cell_length_b 5.094
_cell_length_c 8.023
_cell_angle_alpha 90.00
_cell_angle_beta 90.00
_cell_angle_gamma 90.00
_space_group_name_H-M_alt 'P m m n'
_space_group_IT_number 59
loop_
_space_group_symop_operation_xyz
'x,y,z'
'-x,-y,-z'
'-x+1/2,-y+1/2,z'
'x+1/2,y+1/2,-z'
'x+1/2,-y,-z'
'-x+1/2,y,z'
'-x,y+1/2,-z'
'x,-y+1/2,z'
loop_
_atom_site_label
_atom_site_type_symbol
_atom_site_fract_x
_atom_site_fract_y
_atom_site_fract_z
Ca1 Ca 0.250 0.250 0.172
Ho1 Ho 0.250 0.250 0.583
C1 C 0.250 0.750 0.609
# Crystal system: orthorhombic
# ΔH_f (0 K): -8.4 kJ per mole of atoms

=====

Record 2
# CaHo3C PBE relaxed
data_CaHo3C
_cell_length_a 5.082
_cell_length_b 5.082
_cell_length_c 5.082
_cell_angle_alpha 90.00
_cell_angle_beta 90.00
_cell_angle_gamma 90.00
_space_group_name_H-M_alt 'P m -3 m'
_space_group_IT_number 221
_space_group_name_Hall '-P 4 2 3'
loop_
_atom_site_label
_atom_site_type_symbol
_atom_site_fract_x
_atom_site_fract_y
_atom_site_fract_z
Ca1 Ca 0.000 0.000 0.000
Ho1 Ho 0.000 0.500 0.500
C1 C 0.500 0.500 0.500
# Crystal system: cubic
# ΔH_f (0 K): -1.4 kJ per mole of atoms

=====

Record 3
# Ca2CI PBE relaxed
data_Ca2CI
_cell_length_a 4.175
_cell_length_b 5.937
_cell_length_c 9.264
_cell_angle_alpha 89.10
_cell_angle_beta 83.44
_cell_angle_gamma 89.65
_space_group_name_H-M_alt 'P 1'
_space_group_IT_number 1
loop_
_space_group_symop_operation_xyz
'x,y,z'
loop_
_atom_site_label
_atom_site_type_symbol
_atom_site_fract_x
_atom_site_fract_y
_atom_site_fract_z
Ca1 Ca 0.000 0.000 0.000
Ca2 Ca 0.093 0.006 0.388
Ca3 Ca 0.444 0.496 0.801
Ca4 Ca 0.601 0.483 0.186
C1 C 0.448 0.022 0.146
C2 C 0.651 0.024 0.245
I1 I 0.053 0.503 0.487
I2 I 0.514 0.998 0.692
# Energy: -4.201 eV/atom
# Crystal system: triclinic

=====

Number 1: DOS(E_F) 0.512 states/eV per atom. Number 2: DOS(E_F) 1.224 states/eV per atom. Number 3: DOS(E_F) 0.450 states/eV per atom.